No. 1
! NaPtBr (PBE, optimized geometry); values from VASP
! * energy relative to the lowest polymorph listed for this composition: 15 meV/atom
! * final energy: -21.5 eV/cell
! * Fermi-level density of states: 2.0 states/eV/f.u.
! * spin magnetization: 0.0 μB/f.u.
&SYSTEM
  ibrav = 0, nat = 6, ntyp = 3
/
ATOMIC_SPECIES
Na 22.99 Na.upf
Pt 195.08 Pt.upf
Br 79.90 Br.upf
ATOMIC_POSITIONS crystal
Na 0.000 0.000 0.000
Na 0.177 0.177 0.640
Pt 0.319 0.319 0.680
Pt 0.786 0.786 0.153
Br 0.434 0.434 0.469
Br 0.607 0.607 0.106
CELL_PARAMETERS angstrom
10.850 -1.785 0.000
10.850 1.785 0.000
-0.321 0.000 3.584

---

No. 2
! Na2PtBr6 (PBE, optimized geometry); values from VASP
! * energy relative to the lowest polymorph listed for this composition: 0 meV/atom
! * final energy: -52.7 eV/cell
! * Fermi-level density of states: 0.0 states/eV/f.u.
! * spin magnetization: 0.0 μB/f.u.
&SYSTEM
  ibrav = 0, nat = 18, ntyp = 3
/
ATOMIC_SPECIES
Na 22.99 Na.upf
Pt 195.08 Pt.upf
Br 79.90 Br.upf
ATOMIC_POSITIONS crystal
Na 0.205 0.094 0.234
Na 0.205 0.406 0.734
Na 0.795 0.594 0.266
Na 0.795 0.906 0.766
Pt 0.500 0.000 0.000
Pt 0.500 0.500 0.500
Br 0.158 0.187 0.944
Br 0.158 0.313 0.444
Br 0.270 0.713 0.949
Br 0.270 0.787 0.449
Br 0.377 0.018 0.764
Br 0.377 0.482 0.264
Br 0.623 0.518 0.736
Br 0.623 0.982 0.236
Br 0.730 0.213 0.551
Br 0.730 0.287 0.051
Br 0.842 0.687 0.556
Br 0.842 0.813 0.056
CELL_PARAMETERS angstrom
7.038 0.000 0.000
0.000 7.337 0.000
-6.834 0.000 10.123

---

Repeat the first record exactly.
! NaPtBr (PBE, optimized geometry); values from VASP
! * energy relative to the lowest polymorph listed for this composition: 15 meV/atom
! * final energy: -21.5 eV/cell
! * Fermi-level density of states: 2.0 states/eV/f.u.
! * spin magnetization: 0.0 μB/f.u.
&SYSTEM
  ibrav = 0, nat = 6, ntyp = 3
/
ATOMIC_SPECIES
Na 22.99 Na.upf
Pt 195.08 Pt.upf
Br 79.90 Br.upf
ATOMIC_POSITIONS crystal
Na 0.000 0.000 0.000
Na 0.177 0.177 0.640
Pt 0.319 0.319 0.680
Pt 0.786 0.786 0.153
Br 0.434 0.434 0.469
Br 0.607 0.607 0.106
CELL_PARAMETERS angstrom
10.850 -1.785 0.000
10.850 1.785 0.000
-0.321 0.000 3.584

---

> Among the records above, which one has the lowest energy relative to the lowest polymorph listed for this composition?

Na2PtBr6

---

> Among the records above, which one has the highest Fermi-level density of states?

NaPtBr

---

> Which value of spin magnetization does entry 1 give?

0.0 μB/f.u.